1.
Density functional theory data (PBE) for an optimized crystal structure of LiZn2Bi2.

Summary:
**Symmetry**: No. 139
**Crystal system**: tetragonal
**Energy**: -2.402 eV/atom
**Magnetic moment**: 0.0 μB per formula unit

a b c (Å): 4.824 4.824 6.777
angles (deg): 69.15 69.15 90.00
Fractional positions:
Zn  0.398  0.398  0.205
Zn  0.602  0.602  0.795
Bi  0.750  0.250  0.500
Bi  0.250  0.750  0.500
Li  0.000  0.000  0.000


2.
Density functional theory data (PBE) for an optimized crystal structure of Li2ZnBi.

Summary:
**Symmetry**: No. 123
**Crystal system**: tetragonal
**Energy**: -2.511 eV/atom
**Magnetic moment**: 0.0 μB per formula unit

a b c (Å): 4.327 4.239 4.239
angles (deg): 90.00 90.00 90.00
Fractional positions:
Zn  0.500  0.000  0.000
Bi  0.500  0.500  0.500
Li  0.000  0.000  0.500
Li  0.000  0.500  0.000


3.
Density functional theory data (PBE) for an optimized crystal structure of Li6ZnBi2.

Summary:
**Symmetry**: No. 12
**Crystal system**: monoclinic
**Energy**: -2.516 eV/atom
**Magnetic moment**: 0.0 μB per formula unit

a b c (Å): 4.827 6.308 8.200
angles (deg): 112.62 103.59 90.00
Fractional positions:
Li  0.199  0.447  0.367
Li  0.801  0.080  0.633
Li  0.801  0.553  0.633
Li  0.500  0.267  0.000
Li  0.199  0.920  0.367
Li  0.500  0.733  0.000
Zn  0.000  0.000  0.000
Bi  0.682  0.658  0.317
Bi  0.318  0.342  0.683


4.
Density functional theory data (PBE) for an optimized crystal structure of LiZn2Bi2.

Summary:
**Symmetry**: No. 127
**Crystal system**: tetragonal
**Energy**: -2.406 eV/atom
**Magnetic moment**: 0.0 μB per formula unit

a b c (Å): 8.225 8.225 3.622
angles (deg): 90.00 90.00 90.00
Fractional positions:
Zn  0.115  0.615  0.500
Zn  0.615  0.885  0.500
Zn  0.885  0.385  0.500
Zn  0.385  0.115  0.500
Bi  0.316  0.816  0.000
Bi  0.816  0.684  0.000
Bi  0.684  0.184  0.000
Bi  0.184  0.316  0.000
Li  0.000  0.000  0.000
Li  0.500  0.500  0.000